# 1
First-principles (PBE) data for crystalline Y2UBeRh6 at its relaxed geometry, as listed in Alexandria via LeMat-Bulk.

Summary:
* formation energy from the elements: -0.40 eV per atom
* space-group type: Fm-3m, No. 225
* total magnetization: 0.00 μB per cell

POSCAR file:
```
Y2UBeRh6
1.0
6.4319 -0.0004 0.0000
0.0004 6.4319 0.0000
3.2161 3.2158 4.5481
Rh U Y Be
6 1 2 1
Direct
0.2329 0.2329 0.0000 Rh
0.2329 0.7671 0.0000 Rh
0.2329 0.2329 0.5342 Rh
0.7671 0.7671 0.4658 Rh
0.7671 0.2329 0.0000 Rh
0.7671 0.7671 0.0000 Rh
0.5000 0.5000 0.0000 U
0.7500 0.2500 0.5000 Y
0.2500 0.7500 0.5000 Y
0.0000 0.0000 0.0000 Be
```

# 2
First-principles (PBE) data for crystalline Be4VRh at its relaxed geometry, as listed in Alexandria via LeMat-Bulk.

Summary:
* formation energy from the elements: -0.41 eV per atom
* space-group type: F-43m, No. 216
* total magnetization: 0.77 μB per cell

POSCAR file:
```
Be4VRh
1.0
-1.8668 -0.6818 -3.8455
-2.4453 -3.5166 -0.6258
-4.2898 0.3942 -0.4237
V Be Rh
1 4 1
Direct
0.0000 0.0000 0.0000 V
0.6265 0.1205 0.6265 Be
0.1205 0.6265 0.6265 Be
0.6265 0.6265 0.1205 Be
0.6265 0.6265 0.6265 Be
0.2500 0.2500 0.2500 Rh
```

# 3
First-principles (PBE) data for crystalline BeVRh at its relaxed geometry, as listed in Alexandria via LeMat-Bulk.

Summary:
* formation energy from the elements: -0.44 eV per atom
* excess energy over the best structure of this formula in the dataset: 0.000 eV/atom
* space-group type: P-3m1, No. 164
* total magnetization: 0.00 μB per cell

POSCAR file:
```
BeVRh
1.0
-1.7453 -3.7244 0.1701
3.3067 0.6171 -2.3730
2.8679 -1.1754 3.6907
Be Rh V
2 2 2
Direct
0.6667 0.3333 0.7686 Be
0.3333 0.6667 0.2314 Be
0.6667 0.3333 0.2671 Rh
0.3333 0.6667 0.7329 Rh
0.0000 0.0000 0.5000 V
0.0000 0.0000 0.0000 V
```

# 4
First-principles (PBE) data for crystalline BeVRh at its relaxed geometry, as listed in Alexandria via LeMat-Bulk.

Summary:
* formation energy from the elements: -0.41 eV per atom
* excess energy over the best structure of this formula in the dataset: 0.027 eV/atom
* space-group type: C2/m, No. 12
* total magnetization: 0.00 μB per cell

POSCAR file:
```
BeVRh
1.0
4.7382 0.0000 0.0151
0.0000 3.9380 0.0000
-4.0635 0.0000 7.5658
V Be Rh
4 4 4
Direct
0.2359 0.5000 0.4915 V
0.2359 0.0000 0.9915 V
0.7641 0.5000 0.5085 V
0.7641 0.0000 0.0085 V
0.1289 0.5000 0.1533 Be
0.8711 0.5000 0.8467 Be
0.8711 0.0000 0.3467 Be
0.1289 0.0000 0.6533 Be
0.6507 0.5000 0.1820 Rh
0.3493 0.5000 0.8180 Rh
0.3493 0.0000 0.3180 Rh
0.6507 0.0000 0.6820 Rh
```